meta-GGA SCAN In2BrO, single point on PBEsol structure; formation energy (no corrections) = -59 meV/atom
1.0
0.000 3.448 3.448
3.448 0.000 3.448
3.448 3.448 0.000
In Br O
2 1 1
Cartesian
1.724 1.724 1.724 In
5.172 5.172 5.172 In
0.000 0.000 0.000 Br
3.448 3.448 3.448 O

***

meta-GGA SCAN Sc3Pt5, single point on PBEsol structure; E_form = -1.32 eV per atom
1.0
3.788 -4.090 0.000
3.788 4.090 0.000
0.000 0.000 4.203
Sc Pt
3 5
Cartesian
0.000 0.000 0.000 Sc
3.788 1.756 2.102 Sc
3.788 -1.756 2.102 Sc
1.894 2.045 0.000 Pt
1.677 0.000 2.102 Pt
1.894 -2.045 0.000 Pt
3.788 0.000 0.000 Pt
5.899 0.000 2.102 Pt

***

meta-GGA SCAN YCu2Au, single point on PBEsol structure; E_form = -0.35 eV per atom
1.0
3.370 0.000 0.000
0.000 4.430 0.000
0.000 0.000 4.925
Y Cu Au
1 2 1
Cartesian
0.000 0.000 0.000 Y
1.685 2.215 1.205 Cu
1.685 2.215 3.720 Cu
1.685 0.000 2.463 Au

***

| no. | raw total energy (eV per atom) |
| --- | --- |
| 1 | -23.17 |
| 2 | -50.53 |
| 3 | -32.20 |